#A
Computed, not measured: an optimized crystal structure of KGe3Rh at the PBE-GGA level of DFT.

Structure (POSCAR):
```
KGe3Rh
1.0
5.1919 0.0000 0.0000
0.0000 5.1919 0.0000
0.0000 0.0000 5.1919
K Ge Rh
1 3 1
direct
0.0000 0.0000 0.0000
0.0000 0.0000 0.5000
0.0000 0.5000 0.0000
0.5000 0.0000 0.0000
0.5000 0.5000 0.5000
```

**Fermi-level density of states**: 5.33 states/eV/f.u.
**SG**: Pm-3m (221)
**Spin magnetization**: 0.63 μB/f.u.

***

#B
Computed, not measured: an optimized crystal structure of KGe3Rh at the PBE-GGA level of DFT.

Structure (POSCAR):
```
KGe3Rh
1.0
4.9491 0.0000 0.0000
0.0000 4.9491 0.0000
0.0000 0.0000 4.9491
K Ge Rh
1 3 1
direct
0.0000 0.0000 0.0000
0.0000 0.5000 0.5000
0.5000 0.0000 0.5000
0.5000 0.5000 0.0000
0.5000 0.5000 0.5000
```

**Fermi-level density of states**: 5.75 states/eV/f.u.
**SG**: Pm-3m (221)
**Spin magnetization**: 1.42 μB/f.u.

***

The data favor #B; the next most stable structure lies 177.4 kJ/mol of atoms above it.

***

#A
Computed, not measured: an optimized crystal structure of KScGeRh2 at the PBE-GGA level of DFT.

Structure (POSCAR):
```
KScGeRh2
1.0
4.7109 0.0000 0.0000
0.0000 4.7109 0.0000
0.0000 0.0000 5.4361
K Sc Ge Rh
1 1 1 2
direct
0.0000 0.0000 0.0000
0.0000 0.0000 0.5000
0.5000 0.5000 0.0000
0.0000 0.5000 0.5000
0.5000 0.0000 0.5000
```

**Fermi-level density of states**: 2.62 states/eV/f.u.
**SG**: P4/mmm (123)
**Spin magnetization**: 0.00 μB/f.u.

***

#B
Computed, not measured: an optimized crystal structure of KScGeRh2 at the PBE-GGA level of DFT.

Structure (POSCAR):
```
KScGeRh2
1.0
4.6480 0.0000 0.0000
0.0000 4.6480 0.0000
0.0000 0.0000 5.3024
K Sc Ge Rh
1 1 1 2
direct
0.0000 0.0000 0.0000
0.5000 0.5000 0.0000
0.0000 0.0000 0.5000
0.0000 0.5000 0.5000
0.5000 0.0000 0.5000
```

**Fermi-level density of states**: 5.28 states/eV/f.u.
**SG**: P4/mmm (123)
**Spin magnetization**: 0.87 μB/f.u.

***

The data favor #B; the next most stable structure lies 31.1 kJ/mol of atoms above it.

***

#A
Computed, not measured: an optimized crystal structure of KGe2Ru2 at the PBE-GGA level of DFT.

Structure (POSCAR):
```
KGe2Ru2
1.0
-2.1505 2.1505 5.6273
2.1505 -2.1505 5.6273
2.1505 2.1505 -5.6273
K Ge Ru
1 2 2
direct
0.0000 0.0000 0.0000
0.3527 0.3527 0.0000
0.6473 0.6473 0.0000
0.2500 0.7500 0.5000
0.7500 0.2500 0.5000
```

**Fermi-level density of states**: 5.92 states/eV/f.u.
**SG**: I4/mmm (139)
**Spin magnetization**: 0.00 μB/f.u.

***

#B
Computed, not measured: an optimized crystal structure of KGe2Ru2 at the PBE-GGA level of DFT.

Structure (POSCAR):
```
KGe2Ru2
1.0
7.6827 0.0000 0.0000
0.0000 7.6827 0.0000
0.0000 0.0000 2.8744
K Ge Ru
2 4 4
direct
0.0000 0.0000 0.0000
0.5000 0.5000 0.0000
0.1474 0.3526 0.5000
0.3526 0.8526 0.5000
0.6474 0.1474 0.5000
0.8526 0.6474 0.5000
0.1380 0.6380 0.0000
0.3620 0.1380 0.0000
0.6380 0.8620 0.0000
0.8620 0.3620 0.0000
```

**Fermi-level density of states**: 3.46 states/eV/f.u.
**SG**: P4/mbm (127)
**Spin magnetization**: 0.00 μB/f.u.

***

The data favor #A; the next most stable structure lies 18.0 kJ/mol of atoms above it.